1.
12
Lattice="13.687 0.000 0.000 0.000 4.311 0.000 -4.367 0.000 6.947" Properties=species:S:1:pos:R:3 comment="Ac3Te2N, relaxed, DFT PBE-GGA" total_magnetization_mub_per_cell=0.5 dos_at_fermi_per_ev_fu=3.1 sg="No. 8" e_form_raw_ev_per_atom=-1.308 polymorph_energy_mev_per_atom=0.0 pbc="T T T"
Ac 0.000 0.000 0.000
Ac -0.497 2.156 3.448
Ac 3.375 2.156 1.790
Ac 6.844 2.156 0.000
Ac 6.346 0.000 3.448
Ac 10.218 0.000 1.790
Te -0.578 0.000 6.226
Te 2.774 0.000 4.210
Te 6.266 2.156 6.226
Te 9.617 2.156 4.210
N -1.101 0.000 2.179
N 5.742 2.156 2.179

***

2.
10
Lattice="4.328 0.000 0.000 0.000 4.328 0.000 0.000 0.000 17.043" Properties=species:S:1:pos:R:3 comment="AcThTe2N, relaxed, DFT PBE-GGA" total_magnetization_mub_per_cell=0.0 dos_at_fermi_per_ev_fu=1.1 sg="No. 129" e_form_raw_ev_per_atom=-1.532 pbc="T T T"
Ac 1.082 1.082 2.444
Ac 3.246 3.246 14.599
Th 1.082 1.082 9.574
Th 3.246 3.246 7.469
Te 1.082 1.082 5.563
Te 1.082 1.082 15.724
Te 3.246 3.246 1.319
Te 3.246 3.246 11.480
N 1.082 3.246 8.522
N 3.246 1.082 8.522

***

3.
14
Lattice="3.624 -9.274 0.000 3.624 9.274 0.000 0.000 0.000 7.083" Properties=species:S:1:pos:R:3 comment="Ac4TlTeN, relaxed, DFT PBE-GGA" total_magnetization_mub_per_cell=1.8 dos_at_fermi_per_ev_fu=6.9 sg="No. 63" e_form_raw_ev_per_atom=-0.781 pbc="T T T"
Ac 1.812 4.637 0.000
Ac 1.812 4.637 3.541
Ac 3.624 8.002 5.312
Ac 3.624 1.517 5.312
Ac 1.812 -4.637 0.000
Ac 1.812 -4.637 3.541
Ac 3.624 -1.517 1.771
Ac 3.624 -8.002 1.771
Tl 3.624 7.186 1.771
Tl 3.624 -7.186 5.312
Te 3.624 2.093 1.771
Te 3.624 -2.093 5.312
N 3.624 3.911 5.312
N 3.624 -3.911 1.771

***

4.
9
Lattice="9.093 -2.148 0.000 9.093 2.148 0.000 -3.250 0.000 7.685" Properties=species:S:1:pos:R:3 comment="Ac4Tl2TeN2, relaxed, DFT PBE-GGA" total_magnetization_mub_per_cell=0.0 dos_at_fermi_per_ev_fu=6.5 sg="No. 12" e_form_raw_ev_per_atom=-0.880 pbc="T T T"
Ac 0.080 0.000 1.990
Ac 4.040 0.000 2.699
Ac 10.895 0.000 4.986
Ac 14.855 0.000 5.695
Tl 3.599 0.000 7.661
Tl 11.336 0.000 0.024
Te 7.468 0.000 3.843
N 1.740 0.000 3.636
N 13.196 0.000 4.049

***

5.
10
Lattice="4.130 0.000 0.000 0.000 4.130 0.000 0.000 0.000 17.409" Properties=species:S:1:pos:R:3 comment="AcUTe2N, relaxed, DFT PBE-GGA" total_magnetization_mub_per_cell=3.5 dos_at_fermi_per_ev_fu=7.4 sg="No. 129" e_form_raw_ev_per_atom=-1.228 pbc="T T T"
Ac 1.033 1.033 2.666
Ac 3.098 3.098 14.743
U 1.033 1.033 9.749
U 3.098 3.098 7.660
Te 1.033 1.033 5.873
Te 1.033 1.033 16.087
Te 3.098 3.098 1.323
Te 3.098 3.098 11.536
N 1.033 3.098 8.705
N 3.098 1.033 8.705

***

6.
10
Lattice="-4.320 4.320 2.728 4.320 -4.320 2.728 4.320 4.320 -2.728" Properties=species:S:1:pos:R:3 comment="Ac4ThN5, relaxed, DFT PBE-GGA" total_magnetization_mub_per_cell=0.0 dos_at_fermi_per_ev_fu=2.3 sg="No. 79" e_form_raw_ev_per_atom=-1.201 pbc="T T T"
Ac 6.055 0.894 0.000
Ac 0.894 2.584 0.000
Ac 3.426 1.736 2.728
Ac -1.736 3.426 2.728
Th 0.000 0.000 2.660
N 0.000 0.000 0.184
N 3.505 1.951 -0.001
N 2.369 -0.815 2.727
N 1.951 5.135 -0.001
N 0.815 2.369 2.727